# 1
Here is a relaxed Li21Ca2Zn6 crystal from Alexandria via LeMat-Bulk. Energies are from PBE-GGA.

**ΔH_f (0 K)**: -23 meV/atom
**Volume**: 20.490 A^3/atom
**ρ**: 1.73 g/cm³
**M_tot**: 0.00 μB/atom

Geometry as POSCAR:
```
Li21Ca2Zn6
1.0
8.172 0.000 4.718
2.724 7.705 4.718
0.000 0.000 9.437
Zn Li Ca
6 21 2
direct
0.262 0.262 0.738
0.738 0.262 0.262
0.738 0.738 0.262
0.262 0.738 0.738
0.738 0.262 0.738
0.262 0.738 0.262
0.348 0.000 0.000
0.609 0.173 0.609
0.652 0.348 0.000
0.348 0.652 0.000
0.173 0.609 0.609
0.000 0.000 0.000
0.000 0.000 0.348
0.348 0.000 0.652
0.609 0.609 0.173
0.000 0.652 0.348
0.652 0.000 0.000
0.000 0.000 0.652
0.652 0.000 0.348
0.391 0.827 0.391
0.827 0.391 0.391
0.000 0.652 0.000
0.000 0.348 0.000
0.609 0.609 0.609
0.391 0.391 0.391
0.000 0.348 0.652
0.391 0.391 0.827
0.250 0.250 0.250
0.750 0.750 0.750
```

# 2
Here is a relaxed AcLaAs crystal from Alexandria via LeMat-Bulk. Energies are from PBE-GGA.

**Energy above the lowest structure with this stoichiometry**: 0.00 kJ per mole of atoms
**ΔH_f (0 K)**: -866 meV/atom
**Volume**: 37.777 A^3/atom
**ρ**: 6.46 g/cm³
**M_tot**: 0.39 μB/atom

Geometry as POSCAR:
```
AcLaAs
1.0
-0.565 -5.761 -4.221
4.053 -1.038 0.874
-3.165 -1.489 2.456
As La Ac
1 1 1
direct
0.988 0.000 0.000
0.753 0.667 0.333
0.259 0.333 0.667
```

# 3
Here is a relaxed Pr2MgPa crystal from Alexandria via LeMat-Bulk. Energies are from PBE-GGA.

**Energy above the lowest structure with this stoichiometry**: 23.47 kJ per mole of atoms
**ΔH_f (0 K)**: 345 meV/atom
**Volume**: 29.799 A^3/atom
**ρ**: 7.48 g/cm³
**M_tot**: 0.03 μB/atom

Geometry as POSCAR:
```
Pr2MgPa
1.0
-5.433 0.930 0.366
-3.485 -4.229 0.696
-2.598 -0.672 4.828
Pr Pa Mg
2 1 1
direct
0.250 0.250 0.250
0.750 0.750 0.750
0.000 0.000 0.000
0.500 0.500 0.500
```

# 4
Here is a relaxed NdEr2N3 crystal from Alexandria via LeMat-Bulk. Energies are from PBE-GGA.

**Volume**: 15.241 A^3/atom
**ρ**: 9.46 g/cm³
**M_tot**: 0.00 μB/atom
**Uncorrected formation energy**: -37.1 kcal/mol of atoms

Geometry as POSCAR:
```
NdEr2N3
1.0
-0.368 3.485 -4.960
2.834 -5.365 -0.261
-5.755 -1.911 0.322
Er N Nd
4 6 2
direct
0.498 0.502 0.500
0.169 0.831 0.500
0.833 0.167 0.500
0.333 0.667 0.000
0.923 0.580 0.741
0.744 0.753 0.259
0.420 0.077 0.259
0.572 0.905 0.741
0.095 0.428 0.259
0.247 0.256 0.741
0.666 0.334 0.000
0.000 0.000 0.000
```

# 5
Here is a relaxed NbReO2 crystal from Alexandria via LeMat-Bulk. Energies are from PBE-GGA.

**Energy above the lowest structure with this stoichiometry**: 0.00 kJ per mole of atoms
**Volume**: 11.654 A^3/atom
**ρ**: 11.08 g/cm³
**M_tot**: 0.00 μB/atom
**Uncorrected formation energy**: -29.9 kcal/mol of atoms

Geometry as POSCAR:
```
NbReO2
1.0
1.610 0.000 6.924
-0.805 1.394 6.924
-0.805 -1.394 6.924
Nb Re O
1 1 2
direct
0.500 0.500 0.500
0.000 0.000 0.000
0.096 0.096 0.096
0.904 0.904 0.904
```

# 6
Here is a relaxed CaPrMgAu crystal from Alexandria via LeMat-Bulk. Energies are from PBE-GGA.

**ΔH_f (0 K)**: -402 meV/atom
**Volume**: 26.896 A^3/atom
**ρ**: 6.21 g/cm³
**M_tot**: 0.00 μB/atom

Geometry as POSCAR:
```
CaPrMgAu
1.0
5.338 0.000 0.000
2.669 4.623 0.000
2.669 1.541 4.359
Ca Pr Au Mg
1 1 1 1
direct
0.250 0.250 0.250
0.750 0.750 0.750
0.000 0.000 0.000
0.500 0.500 0.500
```

# 7
Here is a relaxed KTa2Sb crystal from Alexandria via LeMat-Bulk. Energies are from PBE-GGA.

**Volume**: 27.097 A^3/atom
**ρ**: 8.01 g/cm³
**M_tot**: 0.00 μB/atom
**Uncorrected formation energy**: 18.4 kcal/mol of atoms

Geometry as POSCAR:
```
KTa2Sb
1.0
3.693 0.000 0.000
0.000 3.693 0.000
0.000 0.000 7.948
Ta K Sb
2 1 1
direct
0.000 0.000 0.595
0.000 0.000 0.905
0.500 0.500 0.250
0.500 0.500 0.750
```

# 8
Here is a relaxed TlPRh2 crystal from Alexandria via LeMat-Bulk. Energies are from PBE-GGA.

**ΔH_f (0 K)**: -164 meV/atom
**Volume**: 16.459 A^3/atom
**ρ**: 11.13 g/cm³
**M_tot**: 0.00 μB/atom

Geometry as POSCAR:
```
TlPRh2
1.0
-1.709 1.979 -1.385
-0.014 -1.708 -2.423
-6.134 -4.444 1.222
Rh P Tl
2 1 1
direct
0.000 0.402 0.683
0.000 0.598 0.317
0.500 0.000 0.500
0.500 0.500 0.000
```

# 9
Here is a relaxed RbNbCl2 crystal from Alexandria via LeMat-Bulk. Energies are from PBE-GGA.

**Energy above the lowest structure with this stoichiometry**: 6.75 kJ per mole of atoms
**Volume**: 35.260 A^3/atom
**ρ**: 2.93 g/cm³
**M_tot**: 0.99 μB/atom
**Uncorrected formation energy**: -10.4 kcal/mol of atoms

Geometry as POSCAR:
```
RbNbCl2
1.0
-1.598 -5.136 -2.722
3.242 -3.131 4.004
-5.389 -4.651 5.266
Nb Cl Rb
2 4 2
direct
0.750 0.250 0.500
0.000 0.000 0.000
0.875 0.982 0.750
0.732 0.125 0.250
0.375 0.268 0.750
0.018 0.625 0.250
0.500 0.500 0.000
0.250 0.750 0.500
```

# 10
Here is a relaxed SiHgTe2 crystal from Alexandria via LeMat-Bulk. Energies are from PBE-GGA.

**Energy above the lowest structure with this stoichiometry**: 34.13 kJ per mole of atoms
**Volume**: 25.045 A^3/atom
**ρ**: 8.02 g/cm³
**M_tot**: 0.00 μB/atom
**Uncorrected formation energy**: 9.5 kcal/mol of atoms

Geometry as POSCAR:
```
SiHgTe2
1.0
-0.577 -4.830 1.874
-0.006 -0.815 5.149
-4.416 -1.347 2.421
Hg Te Si
1 2 1
direct
0.500 0.500 0.500
0.750 0.750 0.750
0.250 0.250 0.250
0.000 0.000 0.000
```

# 11
Here is a relaxed LaRu3 crystal from Alexandria via LeMat-Bulk. Energies are from PBE-GGA.

**ΔH_f (0 K)**: 278 meV/atom
**Volume**: 17.555 A^3/atom
**ρ**: 10.46 g/cm³
**M_tot**: 0.00 μB/atom

Geometry as POSCAR:
```
LaRu3
1.0
-4.313 -2.227 3.391
2.533 -3.815 -3.754
2.992 -1.067 3.105
Ru La
6 2
direct
0.065 0.381 0.250
0.619 0.935 0.250
0.935 0.619 0.750
0.381 0.065 0.750
0.074 0.926 0.250
0.926 0.074 0.750
0.391 0.609 0.750
0.609 0.391 0.250
```

# 12
Here is a relaxed Pr8GeS3I4 crystal from Alexandria via LeMat-Bulk. Energies are from PBE-GGA.

**Volume**: 30.122 A^3/atom
**ρ**: 6.21 g/cm³
**M_tot**: 0.00 μB/atom
**Uncorrected formation energy**: -31.9 kcal/mol of atoms

Geometry as POSCAR:
```
Pr8GeS3I4
1.0
8.458 0.000 0.000
0.000 9.171 0.505
-4.229 -4.231 5.981
Pr I S Ge
8 4 3 1
direct
0.719 0.691 0.955
0.236 0.691 0.955
0.764 0.309 0.045
0.764 0.309 0.529
0.272 0.315 0.544
0.728 0.685 0.456
0.281 0.309 0.045
0.236 0.691 0.471
0.000 0.000 0.500
0.500 0.000 0.500
0.500 0.000 0.000
0.000 0.000 0.000
0.000 0.500 0.500
0.500 0.500 0.000
0.500 0.500 0.500
0.000 0.500 0.000
```

Look up the ρ of the eighth one. 11.13 g/cm³

Copy entry 10 word for word.
Here is a relaxed SiHgTe2 crystal from Alexandria via LeMat-Bulk. Energies are from PBE-GGA.

**Energy above the lowest structure with this stoichiometry**: 34.13 kJ per mole of atoms
**Volume**: 25.045 A^3/atom
**ρ**: 8.02 g/cm³
**M_tot**: 0.00 μB/atom
**Uncorrected formation energy**: 9.5 kcal/mol of atoms

Geometry as POSCAR:
```
SiHgTe2
1.0
-0.577 -4.830 1.874
-0.006 -0.815 5.149
-4.416 -1.347 2.421
Hg Te Si
1 2 1
direct
0.500 0.500 0.500
0.750 0.750 0.750
0.250 0.250 0.250
0.000 0.000 0.000
```